(1)
Here is a geometry-optimized PuAl structure from the Open Quantum Materials Database. Energies are from PBE.

Lattice parameters (Å, degrees): 4.911 4.911 5.074 90.00 90.00 120.00
Positions (direct):
Pu: 0.333 0.667 0.250
Pu: 0.667 0.333 0.750
Al: 0.000 0.000 0.000
Al: 0.000 0.000 0.500


(2)
Here is a geometry-optimized BaCuAsPd structure from the Open Quantum Materials Database. Energies are from PBE.

Lattice parameters (Å, degrees): 4.994 4.994 4.994 60.00 60.00 60.00
Positions (direct):
Ba: 0.000 0.000 0.000
Cu: 0.250 0.250 0.250
As: 0.750 0.750 0.750
Pd: 0.500 0.500 0.500


(3)
Here is a geometry-optimized Cs3NaCu2P2 structure from the Open Quantum Materials Database. Energies are from PBE.

Lattice parameters (Å, degrees): 6.509 5.915 6.548 90.00 106.67 90.00
Positions (direct):
Cs: 0.000 0.000 0.000
Cs: 0.308 0.500 0.289
Cs: 0.679 0.000 0.362
Na: 0.027 0.500 0.683
Cu: 0.470 0.241 0.801
Cu: 0.470 0.759 0.801
P: 0.236 0.000 0.591
P: 0.712 0.500 0.963


(4)
Here is a geometry-optimized Co2I structure from the Open Quantum Materials Database. Energies are from PBE.

Lattice parameters (Å, degrees): 5.169 5.169 5.169 60.00 60.00 60.00
Positions (direct):
Co: 0.000 0.000 0.000
Co: 0.000 0.000 0.500
Co: 0.000 0.500 0.000
Co: 0.500 0.000 0.000
I: 0.375 0.375 0.375
I: 0.625 0.625 0.625


(5)
Here is a geometry-optimized Gd2HoCu4Sn4 structure from the Open Quantum Materials Database. Energies are from PBE.

Lattice parameters (Å, degrees): 8.467 8.467 8.467 149.23 131.58 58.47
Positions (direct):
Gd: 0.131 0.131 0.000
Gd: 0.869 0.869 0.000
Ho: 0.500 0.000 0.500
Cu: 0.142 0.329 0.812
Cu: 0.483 0.671 0.812
Cu: 0.517 0.329 0.188
Cu: 0.858 0.671 0.188
Sn: 0.204 0.500 0.704
Sn: 0.284 0.784 0.500
Sn: 0.716 0.216 0.500
Sn: 0.796 0.500 0.296


(6)
Here is a geometry-optimized YScBi2Pd2 structure from the Open Quantum Materials Database. Energies are from PBE.

Lattice parameters (Å, degrees): 9.357 4.678 14.030 90.00 109.44 90.00
Positions (direct):
Y: 0.000 0.000 0.000
Y: 0.124 0.500 0.747
Y: 0.250 0.000 0.498
Y: 0.502 0.000 0.000
Sc: 0.376 0.500 0.250
Sc: 0.625 0.500 0.747
Sc: 0.748 0.000 0.497
Sc: 0.875 0.500 0.250
Bi: 0.126 0.000 0.251
Bi: 0.252 0.500 0.003
Bi: 0.379 0.000 0.749
Bi: 0.502 0.500 0.495
Bi: 0.626 0.000 0.251
Bi: 0.751 0.500 0.999
Bi: 0.869 0.000 0.744
Bi: 0.995 0.500 0.496
Pd: 0.065 0.500 0.131
Pd: 0.186 0.000 0.874
Pd: 0.320 0.500 0.625
Pd: 0.441 0.000 0.371
Pd: 0.568 0.500 0.131
Pd: 0.686 0.000 0.868
Pd: 0.805 0.500 0.619
Pd: 0.931 0.000 0.372


(7)
Here is a geometry-optimized TbNd2Cu4Sn2Ge2 structure from the Open Quantum Materials Database. Energies are from PBE.

Lattice parameters (Å, degrees): 8.366 8.366 8.366 149.08 132.73 57.56
Positions (direct):
Tb: 0.000 0.000 0.000
Nd: 0.373 0.873 0.500
Nd: 0.627 0.127 0.500
Cu: 0.028 0.341 0.687
Cu: 0.346 0.659 0.687
Cu: 0.654 0.341 0.313
Cu: 0.972 0.659 0.313
Sn: 0.216 0.216 0.000
Sn: 0.784 0.784 0.000
Ge: 0.308 0.500 0.808
Ge: 0.692 0.500 0.192


(8)
Here is a geometry-optimized Ba2ErS3 structure from the Open Quantum Materials Database. Energies are from PBE.

Lattice parameters (Å, degrees): 4.224 4.224 10.856 90.00 90.00 120.00
Positions (direct):
Ba: 0.333 0.667 0.178
Ba: 0.667 0.333 0.822
Er: 0.000 0.000 0.500
S: 0.000 0.000 0.000
S: 0.333 0.667 0.631
S: 0.667 0.333 0.369


Total energy, record by record: -8.78, -3.94, -3.02, -4.28, -4.59, -6.09, -4.80, -5.45 eV/atom